{
  "formula": "Zr2TlIn",
  "functional": "PBEsol",
  "state": "relaxed",
  "spacegroup": "R3m, No. 160",
  "dft_energy_ev_per_atom": -5.9451,
  "e_form_ev_per_fu": 0.012,
  "dos_ef_per_ev_cell": 4.57,
  "lattice_angstrom": [[1.637, 0.945, 10.100], [-1.637, 0.945, 10.100], [0.000, -1.890, 10.100]],
  "species": ["Zr", "Zr", "Tl", "In"],
  "frac_coords": [[0.000, 0.000, 0.000], [0.254, 0.254, 0.254], [0.503, 0.503, 0.503], [0.749, 0.749, 0.749]]
}

{
  "formula": "TlSF2",
  "functional": "PBEsol",
  "state": "relaxed",
  "raw_formation_energy_ev_per_atom": -0.548,
  "spacegroup": "R-3m, No. 166",
  "dft_energy_ev_per_atom": -3.2651,
  "dos_ef_per_ev_cell": 2.60,
  "lattice_angstrom": [[2.051, 1.184, 4.222], [-2.051, 1.184, 4.222], [0.000, -2.368, 4.222]],
  "species": ["Tl", "S", "F", "F"],
  "frac_coords": [[0.000, 0.000, 0.000], [0.500, 0.500, 0.500], [0.224, 0.224, 0.224], [0.776, 0.776, 0.776]]
}

{
  "formula": "LaMgI5",
  "functional": "PBEsol",
  "state": "relaxed",
  "raw_formation_energy_ev_per_atom": -1.191,
  "spacegroup": "Cc, No. 9",
  "dft_energy_ev_per_atom": -3.4622,
  "dos_ef_per_ev_cell": 0.00,
  "lattice_angstrom": [[5.938, -5.434, 0.000], [5.938, 5.434, 0.000], [-5.727, 0.000, 10.315]],
  "species": ["La", "La", "Mg", "Mg", "I", "I", "I", "I", "I", "I", "I", "I", "I", "I"],
  "frac_coords": [[0.250, 0.750, 0.500], [0.750, 0.250, 0.000], [0.105, 0.396, 0.749], [0.396, 0.105, 0.249], [0.051, 0.681, 0.665], [0.052, 0.108, 0.528], [0.108, 0.052, 0.028], [0.396, 0.456, 0.970], [0.444, 0.821, 0.333], [0.456, 0.396, 0.470], [0.580, 0.918, 0.751], [0.681, 0.051, 0.165], [0.821, 0.444, 0.833], [0.918, 0.580, 0.251]]
}

{
  "formula": "TaNb2Ru",
  "functional": "PBEsol",
  "state": "relaxed",
  "spacegroup": "Fm-3m, No. 225",
  "dft_energy_ev_per_atom": -11.2403,
  "e_form_ev_per_fu": -0.595,
  "dos_ef_per_ev_cell": 2.09,
  "lattice_angstrom": [[0.000, 3.201, 3.201], [3.201, 0.000, 3.201], [3.201, 3.201, 0.000]],
  "species": ["Ta", "Nb", "Nb", "Ru"],
  "frac_coords": [[0.000, 0.000, 0.000], [0.250, 0.250, 0.250], [0.750, 0.750, 0.750], [0.500, 0.500, 0.500]]
}

{
  "formula": "Ni21B6Sb2",
  "functional": "PBEsol",
  "state": "relaxed",
  "raw_formation_energy_ev_per_atom": -0.313,
  "spacegroup": "Fm-3m, No. 225",
  "dft_energy_ev_per_atom": -6.5376,
  "dos_ef_per_ev_cell": 20.27,
  "lattice_angstrom": [[0.000, 5.229, 5.229], [5.229, 0.000, 5.229], [5.229, 5.229, 0.000]],
  "species": ["Ni", "Ni", "Ni", "Ni", "Ni", "Ni", "Ni", "Ni", "Ni", "Ni", "Ni", "Ni", "Ni", "Ni", "Ni", "Ni", "Ni", "Ni", "Ni", "Ni", "Ni", "B", "B", "B", "B", "B", "B", "Sb", "Sb"],
  "frac_coords": [[0.000, 0.000, 0.000], [0.000, 0.000, 0.336], [0.000, 0.000, 0.664], [0.000, 0.336, 0.000], [0.000, 0.336, 0.664], [0.000, 0.664, 0.000], [0.000, 0.664, 0.336], [0.153, 0.616, 0.616], [0.336, 0.000, 0.000], [0.336, 0.000, 0.664], [0.336, 0.664, 0.000], [0.384, 0.384, 0.384], [0.384, 0.384, 0.847], [0.384, 0.847, 0.384], [0.616, 0.153, 0.616], [0.616, 0.616, 0.153], [0.616, 0.616, 0.616], [0.664, 0.000, 0.000], [0.664, 0.000, 0.336], [0.664, 0.336, 0.000], [0.847, 0.384, 0.384], [0.272, 0.272, 0.728], [0.272, 0.728, 0.272], [0.272, 0.728, 0.728], [0.728, 0.272, 0.272], [0.728, 0.272, 0.728], [0.728, 0.728, 0.272], [0.250, 0.250, 0.250], [0.750, 0.750, 0.750]]
}

{
  "formula": "HoMgTl",
  "functional": "PBEsol",
  "state": "relaxed",
  "spacegroup": "P-62m, No. 189",
  "dft_energy_ev_per_atom": -3.4747,
  "e_form_ev_per_fu": -1.127,
  "dos_ef_per_ev_cell": 0.91,
  "lattice_angstrom": [[7.424, 0.000, 0.000], [-3.712, 6.429, 0.000], [0.000, 0.000, 4.588]],
  "species": ["Ho", "Ho", "Ho", "Mg", "Mg", "Mg", "Tl", "Tl", "Tl"],
  "frac_coords": [[0.000, 0.431, 0.000], [0.431, 0.000, 0.000], [0.569, 0.569, 0.000], [0.000, 0.757, 0.500], [0.243, 0.243, 0.500], [0.757, 0.000, 0.500], [0.000, 0.000, 0.000], [0.333, 0.667, 0.500], [0.667, 0.333, 0.500]]
}

{
  "formula": "CaPRuN2",
  "functional": "PBEsol",
  "state": "relaxed",
  "raw_formation_energy_ev_per_atom": 0.776,
  "spacegroup": "P4/mmm, No. 123",
  "dft_energy_ev_per_atom": -6.2542,
  "dos_ef_per_ev_cell": 3.96,
  "lattice_angstrom": [[3.806, 0.000, 0.000], [0.000, 3.806, 0.000], [0.000, 0.000, 4.411]],
  "species": ["Ca", "P", "Ru", "N", "N"],
  "frac_coords": [[0.000, 0.000, 0.000], [0.500, 0.500, 0.500], [0.500, 0.500, 0.000], [0.000, 0.500, 0.500], [0.500, 0.000, 0.500]]
}

{
  "formula": "BiTeS3",
  "functional": "PBEsol",
  "state": "relaxed",
  "raw_formation_energy_ev_per_atom": 0.357,
  "spacegroup": "Pm-3m, No. 221",
  "dft_energy_ev_per_atom": -3.8359,
  "dos_ef_per_ev_cell": 2.83,
  "lattice_angstrom": [[4.973, 0.000, 0.000], [0.000, 4.973, 0.000], [0.000, 0.000, 4.973]],
  "species": ["Bi", "Te", "S", "S", "S"],
  "frac_coords": [[0.000, 0.000, 0.000], [0.500, 0.500, 0.500], [0.000, 0.500, 0.500], [0.500, 0.000, 0.500], [0.500, 0.500, 0.000]]
}

{
  "formula": "Mn2InCo",
  "functional": "PBEsol",
  "state": "relaxed",
  "spacegroup": "P4mm, No. 99",
  "dft_energy_ev_per_atom": -7.4185,
  "e_form_ev_per_fu": 0.568,
  "dos_ef_per_ev_cell": 1.24,
  "lattice_angstrom": [[2.927, 0.000, 0.000], [0.000, 2.927, 0.000], [0.000, 0.000, 6.078]],
  "species": ["Mn", "Mn", "In", "Co"],
  "frac_coords": [[0.000, 0.000, 0.000], [0.500, 0.500, 0.204], [0.500, 0.500, 0.698], [0.000, 0.000, 0.423]]
}

{
  "formula": "CaSbTe2I",
  "functional": "PBEsol",
  "state": "relaxed",
  "raw_formation_energy_ev_per_atom": -0.265,
  "spacegroup": "P4/mmm, No. 123",
  "dft_energy_ev_per_atom": -3.3665,
  "dos_ef_per_ev_cell": 1.62,
  "lattice_angstrom": [[5.753, 0.000, 0.000], [0.000, 5.753, 0.000], [0.000, 0.000, 5.709]],
  "species": ["Ca", "Sb", "Te", "Te", "I"],
  "frac_coords": [[0.000, 0.000, 0.000], [0.500, 0.500, 0.500], [0.000, 0.500, 0.500], [0.500, 0.000, 0.500], [0.500, 0.500, 0.000]]
}

{
  "formula": "Ba3Y2B6O15",
  "functional": "PBEsol",
  "state": "relaxed",
  "raw_formation_energy_ev_per_atom": -2.904,
  "spacegroup": "Ia-3, No. 206",
  "dft_energy_ev_per_atom": -8.3246,
  "dos_ef_per_ev_cell": 0.00,
  "lattice_angstrom": [[-7.128, 7.128, 7.128], [7.128, -7.128, 7.128], [7.128, 7.128, -7.128]],
  "species": ["Ba", "Ba", "Ba", "Ba", "Ba", "Ba", "Ba", "Ba", "Ba", "Ba", "Ba", "Ba", "Y", "Y", "Y", "Y", "Y", "Y", "Y", "Y", "B", "B", "B", "B", "B", "B", "B", "B", "B", "B", "B", "B", "B", "B", "B", "B", "B", "B", "B", "B", "B", "B", "B", "B", "O", "O", "O", "O", "O", "O", "O", "O", "O", "O", "O", "O", "O", "O", "O", "O", "O", "O", "O", "O", "O", "O", "O", "O", "O", "O", "O", "O", "O", "O", "O", "O", "O", "O", "O", "O", "O", "O", "O", "O", "O", "O", "O", "O", "O", "O", "O", "O", "O", "O", "O", "O", "O", "O", "O", "O", "O", "O", "O", "O"],
  "frac_coords": [[0.120, 0.870, 0.250], [0.130, 0.750, 0.880], [0.250, 0.120, 0.870], [0.250, 0.620, 0.370], [0.370, 0.250, 0.620], [0.380, 0.630, 0.750], [0.620, 0.370, 0.250], [0.630, 0.750, 0.380], [0.750, 0.380, 0.630], [0.750, 0.880, 0.130], [0.870, 0.250, 0.120], [0.880, 0.130, 0.750], [0.000, 0.000, 0.000], [0.000, 0.000, 0.500], [0.000, 0.500, 0.000], [0.000, 0.500, 0.500], [0.500, 0.000, 0.000], [0.500, 0.000, 0.500], [0.500, 0.500, 0.000], [0.500, 0.500, 0.500], [0.048, 0.128, 0.304], [0.080, 0.452, 0.756], [0.128, 0.304, 0.048], [0.176, 0.372, 0.420], [0.196, 0.324, 0.744], [0.244, 0.920, 0.548], [0.256, 0.804, 0.676], [0.304, 0.048, 0.128], [0.324, 0.744, 0.196], [0.372, 0.420, 0.176], [0.420, 0.176, 0.372], [0.452, 0.756, 0.080], [0.548, 0.244, 0.920], [0.580, 0.824, 0.628], [0.628, 0.580, 0.824], [0.676, 0.256, 0.804], [0.696, 0.952, 0.872], [0.744, 0.196, 0.324], [0.756, 0.080, 0.452], [0.804, 0.676, 0.256], [0.824, 0.628, 0.580], [0.872, 0.696, 0.952], [0.920, 0.548, 0.244], [0.952, 0.872, 0.696], [0.007, 0.028, 0.332], [0.013, 0.891, 0.821], [0.021, 0.493, 0.824], [0.028, 0.332, 0.007], [0.069, 0.391, 0.378], [0.091, 0.341, 0.750], [0.109, 0.179, 0.987], [0.122, 0.513, 0.692], [0.159, 0.250, 0.409], [0.168, 0.197, 0.676], [0.176, 0.979, 0.507], [0.179, 0.987, 0.109], [0.192, 0.679, 0.569], [0.197, 0.676, 0.168], [0.250, 0.409, 0.159], [0.250, 0.909, 0.659], [0.303, 0.472, 0.479], [0.308, 0.878, 0.487], [0.321, 0.431, 0.808], [0.324, 0.832, 0.803], [0.332, 0.007, 0.028], [0.341, 0.750, 0.091], [0.378, 0.069, 0.391], [0.391, 0.378, 0.069], [0.409, 0.159, 0.250], [0.431, 0.808, 0.321], [0.472, 0.479, 0.303], [0.479, 0.303, 0.472], [0.487, 0.308, 0.878], [0.493, 0.824, 0.021], [0.507, 0.176, 0.979], [0.513, 0.692, 0.122], [0.521, 0.697, 0.528], [0.528, 0.521, 0.697], [0.569, 0.192, 0.679], [0.591, 0.841, 0.750], [0.609, 0.622, 0.931], [0.622, 0.931, 0.609], [0.659, 0.250, 0.909], [0.668, 0.993, 0.972], [0.676, 0.168, 0.197], [0.679, 0.569, 0.192], [0.692, 0.122, 0.513], [0.697, 0.528, 0.521], [0.750, 0.091, 0.341], [0.750, 0.591, 0.841], [0.803, 0.324, 0.832], [0.808, 0.321, 0.431], [0.821, 0.013, 0.891], [0.824, 0.021, 0.493], [0.832, 0.803, 0.324], [0.841, 0.750, 0.591], [0.878, 0.487, 0.308], [0.891, 0.821, 0.013], [0.909, 0.659, 0.250], [0.931, 0.609, 0.622], [0.972, 0.668, 0.993], [0.979, 0.507, 0.176], [0.987, 0.109, 0.179], [0.993, 0.972, 0.668]]
}

{
  "formula": "CuAsPt",
  "functional": "PBEsol",
  "state": "relaxed",
  "spacegroup": "I4mm, No. 107",
  "dft_energy_ev_per_atom": -5.5595,
  "e_form_ev_per_fu": -0.274,
  "dos_ef_per_ev_cell": 1.20,
  "lattice_angstrom": [[-1.689, 1.689, 3.816], [1.689, -1.689, 3.816], [1.689, 1.689, -3.816]],
  "species": ["Cu", "As", "Pt"],
  "frac_coords": [[0.000, 0.000, 0.000], [0.317, 0.317, 0.000], [0.659, 0.659, 0.000]]
}

{
  "formula": "Zr3TiHg",
  "functional": "PBEsol",
  "state": "relaxed",
  "spacegroup": "Pm-3m, No. 221",
  "dft_energy_ev_per_atom": -6.5480,
  "e_form_ev_per_fu": 3.418,
  "dos_ef_per_ev_cell": 7.28,
  "lattice_angstrom": [[4.849, 0.000, 0.000], [0.000, 4.849, 0.000], [0.000, 0.000, 4.849]],
  "species": ["Zr", "Zr", "Zr", "Ti", "Hg"],
  "frac_coords": [[0.000, 0.000, 0.500], [0.000, 0.500, 0.000], [0.500, 0.000, 0.000], [0.000, 0.000, 0.000], [0.500, 0.500, 0.500]]
}

{
  "formula": "KIrRu",
  "functional": "PBEsol",
  "state": "relaxed",
  "spacegroup": "P3m1, No. 156",
  "dft_energy_ev_per_atom": -6.1856,
  "e_form_ev_per_fu": 2.572,
  "dos_ef_per_ev_cell": 4.23,
  "lattice_angstrom": [[2.757, 0.000, 0.000], [-1.379, 2.388, 0.000], [0.000, 0.000, 7.885]],
  "species": ["K", "Ir", "Ru"],
  "frac_coords": [[0.000, 0.000, 0.000], [0.667, 0.333, 0.365], [0.333, 0.667, 0.626]]
}

{
  "formula": "TaSb2PtI",
  "functional": "PBEsol",
  "state": "relaxed",
  "raw_formation_energy_ev_per_atom": 1.019,
  "spacegroup": "P4/mmm, No. 123",
  "dft_energy_ev_per_atom": -5.0606,
  "dos_ef_per_ev_cell": 4.50,
  "lattice_angstrom": [[5.290, 0.000, 0.000], [0.000, 5.290, 0.000], [0.000, 0.000, 5.136]],
  "species": ["Ta", "Sb", "Sb", "Pt", "I"],
  "frac_coords": [[0.000, 0.000, 0.000], [0.000, 0.500, 0.000], [0.500, 0.000, 0.000], [0.500, 0.500, 0.500], [0.000, 0.000, 0.500]]
}

{
  "formula": "RbYSeN2",
  "functional": "PBEsol",
  "state": "relaxed",
  "raw_formation_energy_ev_per_atom": 1.424,
  "spacegroup": "P4/mmm, No. 123",
  "dft_energy_ev_per_atom": -4.3266,
  "dos_ef_per_ev_cell": 2.89,
  "lattice_angstrom": [[4.236, 0.000, 0.000], [0.000, 4.236, 0.000], [0.000, 0.000, 5.829]],
  "species": ["Rb", "Y", "Se", "N", "N"],
  "frac_coords": [[0.000, 0.000, 0.000], [0.500, 0.500, 0.500], [0.000, 0.000, 0.500], [0.000, 0.500, 0.000], [0.500, 0.000, 0.000]]
}

{
  "formula": "SiAs3Pb",
  "functional": "PBEsol",
  "state": "relaxed",
  "raw_formation_energy_ev_per_atom": 0.407,
  "spacegroup": "Pm-3m, No. 221",
  "dft_energy_ev_per_atom": -4.6062,
  "dos_ef_per_ev_cell": 3.39,
  "lattice_angstrom": [[4.804, 0.000, 0.000], [0.000, 4.804, 0.000], [0.000, 0.000, 4.804]],
  "species": ["Si", "As", "As", "As", "Pb"],
  "frac_coords": [[0.000, 0.000, 0.000], [0.000, 0.000, 0.500], [0.000, 0.500, 0.000], [0.500, 0.000, 0.000], [0.500, 0.500, 0.500]]
}

{
  "formula": "Zr4In5Co2",
  "functional": "PBEsol",
  "state": "relaxed",
  "spacegroup": "P2/m, No. 10",
  "dft_energy_ev_per_atom": -6.4813,
  "e_form_ev_per_fu": -4.547,
  "dos_ef_per_ev_cell": 6.05,
  "lattice_angstrom": [[7.424, 0.000, 0.000], [0.000, 3.248, 0.000], [-0.767, 0.000, 8.916]],
  "species": ["Zr", "Zr", "Zr", "Zr", "In", "In", "In", "In", "In", "Co", "Co"],
  "frac_coords": [[0.183, 0.000, 0.341], [0.202, 0.000, 0.940], [0.798, 0.000, 0.060], [0.817, 0.000, 0.659], [0.158, 0.500, 0.642], [0.460, 0.500, 0.168], [0.500, 0.500, 0.500], [0.540, 0.500, 0.832], [0.842, 0.500, 0.358], [0.077, 0.500, 0.134], [0.923, 0.500, 0.866]]
}

{
  "formula": "TaNb2InI",
  "functional": "PBEsol",
  "state": "relaxed",
  "raw_formation_energy_ev_per_atom": 2.106,
  "spacegroup": "P4/mmm, No. 123",
  "dft_energy_ev_per_atom": -5.6832,
  "dos_ef_per_ev_cell": 6.83,
  "lattice_angstrom": [[4.898, 0.000, 0.000], [0.000, 4.898, 0.000], [0.000, 0.000, 5.355]],
  "species": ["Ta", "Nb", "Nb", "In", "I"],
  "frac_coords": [[0.000, 0.000, 0.000], [0.000, 0.500, 0.500], [0.500, 0.000, 0.500], [0.500, 0.500, 0.000], [0.500, 0.500, 0.500]]
}

{
  "formula": "HfIn3O",
  "functional": "PBEsol",
  "state": "relaxed",
  "raw_formation_energy_ev_per_atom": -0.172,
  "spacegroup": "Pm-3m, No. 221",
  "dft_energy_ev_per_atom": -5.1120,
  "dos_ef_per_ev_cell": 2.48,
  "lattice_angstrom": [[4.602, 0.000, 0.000], [0.000, 4.602, 0.000], [0.000, 0.000, 4.602]],
  "species": ["Hf", "In", "In", "In", "O"],
  "frac_coords": [[0.000, 0.000, 0.000], [0.000, 0.500, 0.500], [0.500, 0.000, 0.500], [0.500, 0.500, 0.000], [0.500, 0.500, 0.500]]
}

| no. | V (Å³/cell) |
| --- | --- |
| 1 | 93.76 |
| 2 | 61.52 |
| 3 | 665.65 |
| 4 | 65.59 |
| 5 | 285.96 |
| 6 | 219.01 |
| 7 | 63.91 |
| 8 | 123.00 |
| 9 | 52.06 |
| 10 | 188.93 |
| 11 | 1448.86 |
| 12 | 43.52 |
| 13 | 113.99 |
| 14 | 51.91 |
| 15 | 143.74 |
| 16 | 104.61 |
| 17 | 110.85 |
| 18 | 215.00 |
| 19 | 128.47 |
| 20 | 97.45 |